(1)
Density functional theory data (PBE) for an optimized crystal structure of CeGa2Pd.

For the mass density, the calculation gives 8.33 g cm⁻³. The calculation puts the spin magnetization at 0.56 μB per formula unit. The calculated formation energy is -2.23 eV/f.u. As for the density of states at the Fermi level: 19.1 states/eV/cell.

It has space group Fm-3m (No. 225), with a = 6.751 Å, b = 6.751 Å, c = 6.751 Å, α = 90.00°, β = 90.00° and γ = 90.00°. The asymmetric unit holds Ce at (0.000, 0.000, 0.000), Ga at (0.250, 0.250, 0.250) and Pd at (0.000, 0.000, 0.500).

=====

(2)
Density functional theory data (PBE) for an optimized crystal structure of NiIrPt.

The calculation puts the offset from the most stable computed form at 200 meV per atom. For the mass density, the calculation gives 17.35 g cm⁻³. The calculation puts the spin magnetization at 0.66 μB per formula unit. The calculated formation energy is 0.49 eV/f.u. As for the density of states at the Fermi level: 20.2 states/eV/cell.

It has space group Fmm2 (No. 42), with a = 2.686 Å, b = 4.649 Å, c = 13.677 Å, α = 90.00°, β = 90.00° and γ = 90.00°. The asymmetric unit holds Ni at (0.000, 0.000, 0.000), Ir at (0.000, 0.000, 0.655) and Pt at (0.000, 0.000, 0.337).